Material: Be2Zn2Cd
Method: DFT, meta-GGA SCAN
State: PBEsol geometry

a b c (Å): 3.3834 3.3834 6.4816
angles (deg): 105.13 105.13 90.00
Closest atoms and distances in Å follow each position.
Fractional positions:
1 Zn 0.3857 0.3857 0.7715  4 Be 2.35
2 Zn 0.6143 0.6143 0.2285  4 Be 2.35
3 Be 0.7500 0.2500 0.5000  4 Zn 2.35, 4 Be 2.39
4 Be 0.2500 0.7500 0.5000  4 Zn 2.35, 4 Be 2.39
5 Cd 0.0000 0.0000 0.0000  8 Zn 2.76

Computed properties:
total magnetic moment	0.000	μB per cell
DFT total energy	-12.91	eV per atom
crystal system	tetragonal